Cs2Tl6BiPt: relaxed, PBE.

a b c (Å): 8.823 8.823 13.436
angles (deg): 70.83 70.83 60.00
Positions (direct):
Tl1 0.184 0.184 0.838
Cs1 0.149 0.149 0.553
Tl2 0.179 0.583 0.654
Cs2 0.282 0.282 0.154
Tl3 0.205 0.816 0.162
Tl4 0.417 0.821 0.346
Tl5 0.816 0.816 0.162
Tl6 0.417 0.417 0.346
Tl7 0.583 0.179 0.654
Bi1 0.620 0.620 0.139
Bi2 0.380 0.380 0.861
Tl8 0.816 0.205 0.162
Tl9 0.821 0.417 0.346
Cs3 0.851 0.851 0.447
Pt1 0.500 0.500 0.500
Tl10 0.795 0.184 0.838
Pt2 0.000 0.000 0.000
Tl11 0.184 0.795 0.838
Cs4 0.718 0.718 0.846
Tl12 0.583 0.583 0.654

For the energy of formation from the pure elements, the calculation gives -8 kJ per mole of atoms. The calculation puts the density of states at the Fermi level at 6.9 states/eV per cell. The mass density comes out at 7.5 g/cm3. The spin magnetization is 0.00 Bohr magnetons per cell. The crystal system is trigonal. As for the raw total energy: -53.3 eV for the cell shown.